Entry 1:
DFT (PBE) results for a geometry-optimized Hf3As2 structure.

Computed properties:
* density: 10.97 g/cm3
* spin magnetization: 0.0 μB per formula unit
* final energy: -8.59 eV/atom
* energy relative to the elements: -0.7557 eV per atom

Unit cell a=3.603 b=7.760 c=7.423 alpha=87.85 beta=90.00 gamma=90.00
Fractional coordinates of all 10 atoms:
Hf (0.250, 0.127, 0.865)
Hf (0.250, 0.118, 0.367)
Hf (0.750, 0.873, 0.135)
As (0.250, 0.761, 0.883)
As (0.750, 0.239, 0.117)
Hf (0.250, 0.503, 0.163)
Hf (0.750, 0.882, 0.633)
Hf (0.750, 0.497, 0.837)
As (0.750, 0.241, 0.607)
As (0.250, 0.759, 0.393)

Entry 2:
DFT (PBE) results for a geometry-optimized HfAs structure.

Computed properties:
* density: 10.41 g/cm3
* spin magnetization: 0.7 μB per formula unit
* final energy: -8.18 eV/atom
* energy relative to the elements: -0.8789 eV per atom

Unit cell a=3.635 b=3.635 c=3.531 alpha=90.00 beta=90.00 gamma=120.00
Site moments in Bohr magnetons follow the coordinates.
Fractional coordinates of all 2 atoms:
As (0.333, 0.667, 0.000)  0.00
Hf (0.000, 0.000, 0.500)  0.37

Entry 3:
DFT (PBE) results for a geometry-optimized HfAs structure.

Computed properties:
* density: 8.31 g/cm3
* spin magnetization: 0.0 μB per formula unit
* final energy: -7.80 eV/atom
* energy relative to the elements: -0.4981 eV per atom

Unit cell a=3.919 b=6.135 c=12.640 alpha=90.00 beta=90.00 gamma=90.00
Fractional coordinates of all 12 atoms:
As (0.500, 0.253, 0.200)
As (0.500, 0.253, 0.800)
As (0.000, 0.663, 0.000)
As (0.000, 0.747, 0.700)
Hf (0.000, 0.000, 0.131)
As (0.500, 0.337, 0.500)
Hf (0.000, 0.000, 0.869)
Hf (0.500, 0.000, 0.631)
Hf (0.500, 0.000, 0.369)
Hf (0.000, 0.632, 0.500)
Hf (0.500, 0.368, 0.000)
As (0.000, 0.747, 0.300)

Entry 4:
DFT (PBE) results for a geometry-optimized HfAs structure.

Computed properties:
* density: 7.78 g/cm3
* spin magnetization: 0.0 μB per formula unit
* final energy: -7.63 eV/atom
* energy relative to the elements: -0.3267 eV per atom

Unit cell a=6.004 b=6.004 c=6.004 alpha=90.00 beta=90.00 gamma=90.00
Fractional coordinates of all 8 atoms:
As (0.250, 0.250, 0.250)
As (0.250, 0.750, 0.750)
As (0.750, 0.750, 0.250)
As (0.750, 0.250, 0.750)
Hf (0.000, 0.000, 0.000)
Hf (0.500, 0.000, 0.500)
Hf (0.000, 0.500, 0.500)
Hf (0.500, 0.500, 0.000)

Entry 5:
DFT (PBE) results for a geometry-optimized HfAs structure.

Computed properties:
* density: 8.84 g/cm3
* spin magnetization: 0.0 μB per formula unit
* final energy: -8.01 eV/atom
* energy relative to the elements: -0.7058 eV per atom

Unit cell a=8.514 b=8.514 c=5.255 alpha=90.00 beta=90.00 gamma=90.00
Fractional coordinates of all 16 atoms:
As (0.218, 0.399, 0.000)
Hf (0.822, 0.608, 0.500)
As (0.282, 0.101, 0.500)
As (0.718, 0.899, 0.500)
Hf (0.608, 0.178, 0.500)
Hf (0.392, 0.822, 0.500)
Hf (0.322, 0.108, 0.000)
Hf (0.678, 0.892, 0.000)
As (0.399, 0.782, 0.000)
As (0.899, 0.282, 0.500)
Hf (0.892, 0.322, 0.000)
As (0.782, 0.601, 0.000)
Hf (0.178, 0.392, 0.500)
As (0.601, 0.218, 0.000)
Hf (0.108, 0.678, 0.000)
As (0.101, 0.718, 0.500)

Entry 6:
DFT (PBE) results for a geometry-optimized HfAs structure.

Computed properties:
* density: 10.53 g/cm3
* spin magnetization: 0.0 μB per formula unit
* final energy: -8.31 eV/atom
* energy relative to the elements: -1.0041 eV per atom

Unit cell a=3.799 b=3.799 c=12.794 alpha=90.00 beta=90.00 gamma=120.00
Fractional coordinates of all 8 atoms:
As (0.000, 0.000, 0.500)
Hf (0.333, 0.667, 0.384)
As (0.000, 0.000, 0.000)
Hf (0.667, 0.333, 0.616)
As (0.667, 0.333, 0.250)
As (0.333, 0.667, 0.750)
Hf (0.667, 0.333, 0.884)
Hf (0.333, 0.667, 0.116)

Entry 7:
DFT (PBE) results for a geometry-optimized Hf2HgAs structure.

Computed properties:
* density: 12.22 g/cm3
* spin magnetization: 0.0 μB per formula unit
* final energy: -6.43 eV/atom
* energy relative to the elements: -0.2121 eV per atom

Unit cell a=7.484 b=7.484 c=6.117 alpha=52.29 beta=52.29 gamma=90.00
Fractional coordinates of all 8 atoms:
Hg (0.750, 0.250, 0.500)
Hf (0.875, 0.856, 0.750)
Hg (0.000, 0.000, 0.000)
Hf (0.144, 0.625, 0.250)
Hf (0.375, 0.394, 0.750)
As (0.500, 0.500, 0.000)
As (0.250, 0.750, 0.500)
Hf (0.606, 0.125, 0.250)

Entry 8:
DFT (PBE) results for a geometry-optimized HfHgAs structure.

Computed properties:
* density: 11.69 g/cm3
* spin magnetization: 0.0 μB per formula unit
* final energy: -5.35 eV/atom
* energy relative to the elements: -0.3770 eV per atom

Unit cell a=3.909 b=3.909 c=8.443 alpha=90.00 beta=90.00 gamma=90.00
Fractional coordinates of all 6 atoms:
Hf (0.500, 0.000, 0.344)
As (0.000, 0.500, 0.340)
Hg (0.500, 0.500, 0.000)
Hg (0.000, 0.000, 0.000)
As (0.500, 0.000, 0.660)
Hf (0.000, 0.500, 0.656)